Entry from Alexandria via LeMat-Bulk: a geometry-optimized CsCdAsN2 structure (PBE-GGA).

Cell and atoms, written as POSCAR:
```
CsCdAsN2
1.0
-4.260 -0.867 1.204
2.242 -5.330 4.094
0.405 2.843 3.480
As Cs N Cd
1 1 2 1
Direct
0.500 0.500 0.500 As
0.000 0.000 0.000 Cs
0.000 0.000 0.500 N
0.500 0.000 0.000 N
0.000 0.500 0.000 Cd
```

Output
Its energy relative to the elements, uncorrected is 2.40 eV/atom. The calculation puts the total energy at -2.22 eV per atom.